DFT (GGA-PBE) results for an optimized crystal structure of Ti4CO5.

Results
* energy relative to the elements, uncorrected: -2.500 eV/atom
* calculated volume: 11.11 Å³ per atom

Unit cell a=3.001 b=6.002 c=6.547 alpha=104.15 beta=103.25 gamma=90.00
Element x y z (fractional)
Ti 0.331 0.884 0.662
Ti 0.006 0.748 0.011
Ti 0.669 0.116 0.338
Ti 0.994 0.252 0.989
C 0.500 0.000 0.000
O 0.839 0.689 0.677
O 0.832 0.132 0.665
O 0.168 0.868 0.335
O 0.500 0.500 0.000
O 0.161 0.311 0.323